{
  "formula": "Dy3Al7Ga2",
  "functional": "PBE-GGA",
  "state": "optimized geometry",
  "cell": [[-0.6400, 3.9449, 0.8416], [-1.7606, 0.5325, -3.8347], [-11.4757, -3.3885, 7.1568]],
  "species": ["Ga", "Ga", "Al", "Al", "Al", "Al", "Al", "Al", "Al", "Dy", "Dy", "Dy"],
  "frac_coords": [[0.0000, 0.1396, 0.2793], [0.0000, 0.8604, 0.7207], [0.5000, 0.0797, 0.1595], [0.5000, 0.9203, 0.8405], [0.0000, 0.2277, 0.4554], [0.0000, 0.5814, 0.1628], [0.0000, 0.0000, 0.0000], [0.0000, 0.7723, 0.5446], [0.0000, 0.4186, 0.8372], [0.5000, 0.3231, 0.6462], [0.5000, 0.6769, 0.3538], [0.5000, 0.5000, 0.0000]],
  "space_group": "Cmmm (65)",
  "dft_energy_ev_per_atom": -4.256,
  "e_form_ev_per_fu": -5.02
}